1.
YTePbF2 after structural relaxation. Source: Alexandria, functional PBE.

Summary:
Energy relative to the elements, uncorrected: -2.261 eV per atom
Total magnetic moment: 0.1420 μB per atom

Cell: 4.4800 4.4800 6.3318 Å, 90.00 90.00 90.00°
Last column: nearest neighbours and their distance in Å.
Space group P4/mmm (No. 123)
Asymmetric unit:
Y (0.0000, 0.0000, 0.0000)  4 F 2.24
Te (0.0000, 0.0000, 0.5000)  2 Y 3.17, 4 Pb 3.17
Pb (0.5000, 0.5000, 0.5000)  4 Te 3.17
F (0.0000, 0.5000, 0.0000)  2 Y 2.24


2.
ThPb2F8 after structural relaxation. Source: Alexandria, functional PBE.

Summary:
Energy relative to the elements, uncorrected: -3.116 eV per atom
Total magnetic moment: 0.0000 μB per atom
Energy relative to the lowest polymorph listed for this composition: 63.6 meV/atom

Cell: 4.0186 6.6324 12.2942 Å, 90.00 90.00 90.00°
Last column: nearest neighbours and their distance in Å.
Space group Immm (No. 71)
Asymmetric unit:
Th (0.0000, 0.0000, 0.0000)  8 F 2.43
Pb (0.0000, 0.0000, 0.3368)  6 F 2.37-2.59
F (0.0000, 0.1899, 0.5000)  2 Pb 2.37, 3 F 2.47-2.52
F (0.0000, 0.2569, 0.1409)  1 Th 2.43, 2 Pb 2.59, 4 F 2.66-2.68
F (0.0000, 0.5000, 0.3885)  2 Th 2.43, 6 F 2.47-2.66